Record 1
LiAcFeC | PBE | optimized geometry

abc: 3.5638 3.5638 11.4695
angles: 90.00 90.00 90.00
Fractional positions:
C 0.2500 0.2500 0.0760
Fe 0.7500 0.2500 0.0000
Ac 0.7500 0.7500 0.2199
Li 0.2500 0.7500 0.5000
Fe 0.2500 0.7500 0.0000
C 0.7500 0.7500 0.9240
Ac 0.2500 0.2500 0.7801
Li 0.7500 0.2500 0.5000

**Density of states at the Fermi level**: 0.610 states/eV per atom
**Size of the total moment**: 0.000 μB per atom
**ρ**: 6.9 g/cm3
**E_form**: 24.6 meV/atom

Record 2
AcMgFeC | PBE | optimized geometry

abc: 3.6761 3.6761 11.5314
angles: 90.00 90.00 90.00
Fractional positions:
Ac 0.7500 0.7500 0.2107
C 0.7500 0.7500 0.9293
C 0.2500 0.2500 0.0707
Ac 0.2500 0.2500 0.7893
Mg 0.2500 0.7500 0.5000
Mg 0.7500 0.2500 0.5000
Fe 0.2500 0.7500 0.0000
Fe 0.7500 0.2500 0.0000

**Density of states at the Fermi level**: 0.762 states/eV per atom
**Size of the total moment**: 0.000 μB per atom
**ρ**: 6.8 g/cm3
**E_form**: 133.5 meV/atom

Record 3
AcMnFeC2 | PBE | optimized geometry

abc: 3.5171 3.5171 5.9812
angles: 107.10 107.10 90.00
Site moments in Bohr magnetons follow the coordinates.
Fractional positions:
C 0.3302 0.3302 0.6604  -0.04
Fe 0.2500 0.7500 0.5000  0.60
C 0.6698 0.6698 0.3396  -0.04
Mn 0.7500 0.2500 0.5000  1.04
Ac 0.0000 0.0000 0.0000  -0.04

**Density of states at the Fermi level**: 0.682 states/eV per atom
**Size of the total moment**: 0.300 μB per atom
**ρ**: 8.9 g/cm3
**E_form**: -96.5 meV/atom

Record 4
Ac3FeC2N6 | PBE | optimized geometry

abc: 5.5125 5.5125 6.6944
angles: 90.00 90.00 120.00
Site moments in Bohr magnetons follow the coordinates.
Fractional positions:
Ac 0.0000 0.0000 0.0000  -0.03
N 0.6231 0.8116 0.2805  0.04
Fe 0.0000 0.0000 0.5000  3.02
N 0.8116 0.6232 0.7195  0.04
Ac 0.3333 0.6667 0.6684  -0.02
N 0.1884 0.3768 0.2805  0.04
Ac 0.6667 0.3333 0.3316  -0.02
N 0.3769 0.1884 0.7195  0.04
C 0.6667 0.3333 0.7284  0.01
C 0.3333 0.6667 0.2716  0.01
N 0.1884 0.8116 0.2805  0.04
N 0.8116 0.1884 0.7195  0.04

**Energy relative to the elements, uncorrected**: -515.0 meV/atom
**Density of states at the Fermi level**: 0.413 states/eV per atom
**Size of the total moment**: 0.265 μB per atom
**ρ**: 8.0 g/cm3

Record 5
Ac2Fe2C2N | PBE | optimized geometry

abc: 3.5640 5.5310 6.0988
angles: 70.52 73.01 71.20
Site moments in Bohr magnetons follow the coordinates.
Fractional positions:
C 0.2078 0.3740 0.2105  -0.01
N 0.0000 0.0000 0.0000  0.04
Fe 0.7976 0.3310 0.0738  0.35
Ac 0.5645 0.1920 0.6789  -0.01
C 0.7922 0.6260 0.7895  -0.01
Ac 0.4355 0.8080 0.3211  -0.01
Fe 0.2024 0.6690 0.9262  0.35

**Energy relative to the elements, uncorrected**: -190.7 meV/atom
**Density of states at the Fermi level**: 0.695 states/eV per atom
**Size of the total moment**: 0.100 μB per atom
**ρ**: 9.5 g/cm3

Record 6
NaAcFeC | PBE | optimized geometry

abc: 3.6597 3.6597 12.0752
angles: 90.00 90.00 90.00
Fractional positions:
Fe 0.7500 0.2500 0.0000
Na 0.2500 0.7500 0.5000
Ac 0.2500 0.2500 0.7992
Ac 0.7500 0.7500 0.2008
C 0.2500 0.2500 0.0691
Na 0.7500 0.2500 0.5000
Fe 0.2500 0.7500 0.0000
C 0.7500 0.7500 0.9309

**Density of states at the Fermi level**: 0.618 states/eV per atom
**Size of the total moment**: 0.000 μB per atom
**ρ**: 6.5 g/cm3
**E_form**: 168.4 meV/atom

Record 7
AcFe2SiC | PBE | optimized geometry

abc: 4.1701 5.8170 6.7911
angles: 90.00 90.00 111.00
Site moments in Bohr magnetons follow the coordinates.
Fractional positions:
Fe 0.1608 0.3216 0.5698  0.68
Fe 0.1608 0.3216 0.9302  0.68
C 0.0000 0.0000 0.5000  -0.07
Si 0.2760 0.5521 0.2500  -0.03
Fe 0.8392 0.6784 0.4302  0.68
Ac 0.4392 0.8785 0.7500  -0.04
Ac 0.5608 0.1215 0.2500  -0.04
Fe 0.8392 0.6784 0.0698  0.68
C 0.0000 0.0000 0.0000  -0.07
Si 0.7240 0.4479 0.7500  -0.03

**Energy relative to the elements, uncorrected**: -207.6 meV/atom
**Density of states at the Fermi level**: 0.795 states/eV per atom
**Size of the total moment**: 0.225 μB per atom
**ρ**: 8.2 g/cm3

Record 8
Ac4Ga2C | PBE | optimized geometry

abc: 5.4921 5.4921 8.6241
angles: 108.57 108.57 90.00
Fractional positions:
Ac 0.8242 0.8242 0.6485
Ga 0.6199 0.6199 0.2398
Ga 0.3801 0.3801 0.7602
C 0.0000 0.0000 0.0000
Ac 0.0000 0.5000 0.0000
Ac 0.1758 0.1758 0.3515
Ac 0.5000 0.0000 0.0000

**Density of states at the Fermi level**: 0.309 states/eV per atom
**Size of the total moment**: 0.000 μB per atom
**ρ**: 7.6 g/cm3
**E_form**: -163.5 meV/atom

Record 9
Ac2GaC | PBE | optimized geometry

abc: 3.9807 3.9807 8.5352
angles: 76.51 76.51 60.00
Fractional positions:
Ac 0.2301 0.2301 0.3097
C 0.5000 0.5000 0.5000
Ac 0.7699 0.7699 0.6903
Ga 0.0000 0.0000 0.0000

**Density of states at the Fermi level**: 1.167 states/eV per atom
**Size of the total moment**: 0.000 μB per atom
**ρ**: 7.9 g/cm3
**E_form**: 29.3 meV/atom

Record 10
Ac3GaC2N6 | PBE | optimized geometry

abc: 5.6434 5.6434 6.8615
angles: 90.00 90.00 120.00
Fractional positions:
N 0.8074 0.1926 0.7420
N 0.1926 0.3852 0.2580
N 0.6148 0.8074 0.2580
Ac 0.3333 0.6667 0.6599
C 0.3333 0.6667 0.2496
N 0.3852 0.1926 0.7420
Ac 0.0000 0.0000 0.0000
C 0.6667 0.3333 0.7504
N 0.1926 0.8074 0.2580
N 0.8074 0.6148 0.7420
Ga 0.0000 0.0000 0.5000
Ac 0.6667 0.3333 0.3401

**Energy relative to the elements, uncorrected**: -519.5 meV/atom
**Density of states at the Fermi level**: 0.099 states/eV per atom
**Size of the total moment**: 0.000 μB per atom
**ρ**: 7.5 g/cm3